Here is a relaxed structure of Li4Mn3CoP4O16 from Alexandria via LeMat-Bulk. Energies are from GGA+U.

## Properties
- SG = P1, No. 1
- uncorrected energy (eV/atom) = -6.87

Cell: 6.1144 4.7652 10.3941 Å, 90.25 90.19 89.86°
Element x y z (fractional)
Li  0.2487  0.9978  0.9975
Li  0.7471  0.9944  0.9991
Li  0.7505  0.5032  0.5007
Li  0.2524  0.5039  0.5014
Mn  0.4982  0.5230  0.7773
Mn  0.0004  0.4766  0.2212
Mn  0.9978  0.0331  0.7193
Co  0.5002  0.9719  0.2777
P  0.0008  0.9220  0.4100
P  0.9976  0.5844  0.9047
P  0.4997  0.4078  0.0938
P  0.5023  0.0853  0.5911
O  0.0018  0.7976  0.5484
O  0.2039  0.7898  0.3394
O  0.7975  0.7899  0.3392
O  0.5019  0.7626  0.5970
O  0.4999  0.7307  0.1014
O  0.1984  0.7181  0.8339
O  0.7912  0.7162  0.8382
O  0.0015  0.7051  0.0439
O  0.4976  0.2926  0.9535
O  0.7019  0.2699  0.1630
O  0.2998  0.2708  0.1642
O  0.0000  0.2608  0.9001
O  0.0006  0.2443  0.4080
O  0.7039  0.2216  0.6623
O  0.3023  0.2239  0.6618
O  0.5020  0.2028  0.4519